Entry 1:
{"formula": "K2BeNb", "functional": "PBEsol", "state": "optimized geometry", "e_tot_ev_per_atom": -2.773, "cell": [[4.703, 0.000, 0.000], [2.352, 8.450, 0.000], [2.352, 0.000, 8.450]], "species": ["Nb", "Nb", "K", "K", "K", "K", "Be", "Be"], "fractional_positions": [[0.750, 0.500, 0.500], [0.000, 0.000, 0.000], [0.285, 0.340, 0.840], [0.465, 0.660, 0.160], [0.375, 0.160, 0.340], [0.875, 0.840, 0.660], [0.500, 0.000, 0.000], [0.250, 0.500, 0.500]]}

***

Entry 2:
{"formula": "Cd2SbPb", "functional": "PBEsol", "state": "optimized geometry", "de_polymorph_ev_per_atom": 0.007, "e_form_raw_ev_per_atom": 0.07, "e_tot_ev_per_atom": -2.667, "cell": [[-3.249, -0.145, 0.908], [1.101, -1.527, 3.695], [0.436, 6.671, 2.626]], "species": ["Cd", "Cd", "Sb", "Pb"], "fractional_positions": [[0.500, 0.500, 0.224], [0.000, 0.000, 0.010], [0.500, 0.500, 0.791], [0.000, 0.000, 0.475]]}

***

Entry 3:
{"formula": "TlSbPb2", "functional": "PBEsol", "state": "optimized geometry", "de_polymorph_ev_per_atom": 0.053, "e_form_raw_ev_per_atom": 0.07, "e_tot_ev_per_atom": -3.729, "cell": [[-0.826, -0.223, 3.334], [2.138, -1.557, 2.203], [5.533, 9.106, 3.758]], "species": ["Tl", "Pb", "Pb", "Sb"], "fractional_positions": [[0.000, 0.000, 0.000], [0.752, 0.752, 0.745], [0.248, 0.248, 0.255], [0.500, 0.500, 0.500]]}

***

Entry 4:
{"formula": "MoRu", "functional": "PBEsol", "state": "optimized geometry", "e_tot_ev_per_atom": -10.899, "cell": [[-1.524, -0.700, 2.158], [0.428, -1.799, -2.012], [3.605, -1.459, 2.072]], "species": ["Ru", "Mo"], "fractional_positions": [[0.667, 0.333, 0.500], [0.333, 0.667, 0.000]]}

***

Entry 5:
{"formula": "TaMnOs2", "functional": "PBEsol", "state": "optimized geometry", "e_tot_ev_per_atom": -11.753, "cell": [[3.119, 0.000, 0.000], [0.000, 3.119, 0.000], [0.000, 0.000, 5.971]], "species": ["Os", "Os", "Ta", "Mn"], "fractional_positions": [[0.000, 0.000, 0.263], [0.000, 0.000, 0.737], [0.500, 0.500, 0.000], [0.500, 0.500, 0.500]]}

***

Entry 6:
{"formula": "MnAlBr2", "functional": "PBEsol", "state": "optimized geometry", "de_polymorph_ev_per_atom": 0.185, "e_form_raw_ev_per_atom": -0.12, "e_tot_ev_per_atom": -4.523, "cell": [[3.243, 0.000, 0.000], [0.000, 3.243, 0.000], [0.000, 0.000, 7.924]], "species": ["Br", "Br", "Al", "Mn"], "fractional_positions": [[0.000, 0.000, 0.930], [0.500, 0.500, 0.330], [0.500, 0.500, 0.720], [0.000, 0.000, 0.521]]}

***

Entry 7:
{"formula": "CaZrFe2", "functional": "PBEsol", "state": "optimized geometry", "e_tot_ev_per_atom": -6.863, "cell": [[-1.954, -0.785, -2.346], [3.496, 0.370, -3.035], [1.031, -4.482, 0.641]], "species": ["Zr", "Fe", "Fe", "Ca"], "fractional_positions": [[0.500, 0.500, 0.500], [0.000, 0.000, 0.500], [0.000, 0.500, 0.000], [0.500, 0.000, 0.000]]}

***

Entry 8:
{"formula": "Y2Ag2Sn", "functional": "PBEsol", "state": "optimized geometry", "e_tot_ev_per_atom": -5.402, "cell": [[3.830, 0.000, 0.000], [0.000, 7.723, 0.000], [0.000, 0.000, 7.723]], "species": ["Sn", "Sn", "Y", "Y", "Y", "Y", "Ag", "Ag", "Ag", "Ag"], "fractional_positions": [[0.000, 0.500, 0.500], [0.000, 0.000, 0.000], [0.500, 0.172, 0.672], [0.500, 0.328, 0.172], [0.500, 0.672, 0.828], [0.500, 0.828, 0.328], [0.000, 0.374, 0.874], [0.000, 0.126, 0.374], [0.000, 0.626, 0.126], [0.000, 0.874, 0.626]]}